Record 1
Here is a geometry-optimized PmIn2Ge structure from Alexandria. Energies are from GGA-PBE.

Properties
Excess energy over the best structure of this formula in the dataset ... 59.4 kJ per mole of atoms

Geometry as CIF:
```
data_PmIn2Ge
_cell_length_a 3.442
_cell_length_b 3.442
_cell_length_c 32.837
_cell_angle_alpha 90.00
_cell_angle_beta 90.00
_cell_angle_gamma 120.00
_space_group_name_H-M_alt 'P 1'
_space_group_IT_number 1
loop_
_space_group_symop_operation_xyz
'x,y,z'
loop_
_atom_site_label
_atom_site_type_symbol
_atom_site_fract_x
_atom_site_fract_y
_atom_site_fract_z
Pm1 Pm 0.000 0.000 0.000
Pm2 Pm 0.333 0.667 0.667
Pm3 Pm 0.667 0.333 0.333
In1 In 0.000 0.000 0.098
In2 In 0.000 0.000 0.902
In3 In 0.333 0.667 0.569
In4 In 0.333 0.667 0.764
In5 In 0.667 0.333 0.236
In6 In 0.667 0.333 0.431
Ge1 Ge 0.000 0.000 0.500
Ge2 Ge 0.333 0.667 0.167
Ge3 Ge 0.667 0.333 0.833
```

=====

Record 2
Here is a geometry-optimized GaAg2 structure from Alexandria. Energies are from GGA-PBE.

Properties
E_tot ... -0.2139 Ry/atom

Geometry as CIF:
```
data_GaAg2
_cell_length_a 9.888
_cell_length_b 4.483
_cell_length_c 5.755
_cell_angle_alpha 90.00
_cell_angle_beta 124.53
_cell_angle_gamma 90.00
_space_group_name_H-M_alt 'P 1'
_space_group_IT_number 1
loop_
_space_group_symop_operation_xyz
'x,y,z'
loop_
_atom_site_label
_atom_site_type_symbol
_atom_site_fract_x
_atom_site_fract_y
_atom_site_fract_z
Ga1 Ga 0.161 0.000 0.110
Ga2 Ga 0.339 0.500 0.890
Ga3 Ga 0.661 0.500 0.110
Ga4 Ga 0.839 0.000 0.890
Ag1 Ag 0.017 0.500 0.766
Ag2 Ag 0.174 0.000 0.617
Ag3 Ag 0.326 0.500 0.383
Ag4 Ag 0.483 0.000 0.234
Ag5 Ag 0.517 0.000 0.766
Ag6 Ag 0.674 0.500 0.617
Ag7 Ag 0.826 0.000 0.383
Ag8 Ag 0.983 0.500 0.234
```

=====

Record 3
Here is a geometry-optimized Li15Mg2Tl2 structure from Alexandria. Energies are from GGA-PBE.

Properties
E_tot ... -0.1431 Ry/atom

Geometry as CIF:
```
data_Li15Mg2Tl2
_cell_length_a 7.323
_cell_length_b 7.323
_cell_length_c 7.323
_cell_angle_alpha 78.72
_cell_angle_beta 78.72
_cell_angle_gamma 78.72
_space_group_name_H-M_alt 'P 1'
_space_group_IT_number 1
loop_
_space_group_symop_operation_xyz
'x,y,z'
loop_
_atom_site_label
_atom_site_type_symbol
_atom_site_fract_x
_atom_site_fract_y
_atom_site_fract_z
Li1 Li 0.000 0.000 0.500
Li2 Li 0.000 0.285 0.715
Li3 Li 0.000 0.500 0.000
Li4 Li 0.000 0.715 0.285
Li5 Li 0.142 0.623 0.623
Li6 Li 0.285 0.000 0.715
Li7 Li 0.285 0.715 0.000
Li8 Li 0.377 0.377 0.858
Li9 Li 0.377 0.858 0.377
Li10 Li 0.500 0.000 0.000
Li11 Li 0.623 0.142 0.623
Li12 Li 0.623 0.623 0.142
Li13 Li 0.715 0.000 0.285
Li14 Li 0.715 0.285 0.000
Li15 Li 0.858 0.377 0.377
Mg1 Mg 0.330 0.330 0.330
Mg2 Mg 0.670 0.670 0.670
Tl1 Tl 0.112 0.112 0.112
Tl2 Tl 0.888 0.888 0.888
```

=====

Record 4
Here is a geometry-optimized PmZrTe2O structure from Alexandria. Energies are from GGA-PBE.

Properties
Formation energy (no corrections) ... -1824 meV per atom

Geometry as CIF:
```
data_PmZrTe2O
_cell_length_a 4.065
_cell_length_b 4.065
_cell_length_c 14.541
_cell_angle_alpha 90.00
_cell_angle_beta 90.00
_cell_angle_gamma 90.00
_space_group_name_H-M_alt 'P 1'
_space_group_IT_number 1
loop_
_space_group_symop_operation_xyz
'x,y,z'
loop_
_atom_site_label
_atom_site_type_symbol
_atom_site_fract_x
_atom_site_fract_y
_atom_site_fract_z
Pm1 Pm 0.250 0.250 0.079
Pm2 Pm 0.750 0.750 0.921
Zr1 Zr 0.250 0.250 0.583
Zr2 Zr 0.750 0.750 0.417
Te1 Te 0.250 0.250 0.379
Te2 Te 0.250 0.250 0.786
Te3 Te 0.750 0.750 0.214
Te4 Te 0.750 0.750 0.621
O1 O 0.250 0.750 0.000
O2 O 0.750 0.250 0.000
```

=====

Record 5
Here is a geometry-optimized Ac3Al3Ge2 structure from Alexandria. Energies are from GGA-PBE.

Properties
E_tot ... -0.3402 Ry/atom

Geometry as CIF:
```
data_Ac3Al3Ge2
_cell_length_a 6.467
_cell_length_b 6.467
_cell_length_c 16.912
_cell_angle_alpha 90.00
_cell_angle_beta 90.00
_cell_angle_gamma 140.98
_space_group_name_H-M_alt 'P 1'
_space_group_IT_number 1
loop_
_space_group_symop_operation_xyz
'x,y,z'
loop_
_atom_site_label
_atom_site_type_symbol
_atom_site_fract_x
_atom_site_fract_y
_atom_site_fract_z
Ac1 Ac 0.049 0.951 0.750
Ac2 Ac 0.346 0.654 0.590
Ac3 Ac 0.346 0.654 0.910
Ac4 Ac 0.654 0.346 0.090
Ac5 Ac 0.654 0.346 0.410
Ac6 Ac 0.951 0.049 0.250
Al1 Al 0.065 0.935 0.558
Al2 Al 0.065 0.935 0.942
Al3 Al 0.224 0.776 0.250
Al4 Al 0.776 0.224 0.750
Al5 Al 0.935 0.065 0.058
Al6 Al 0.935 0.065 0.442
Ge1 Ge 0.361 0.639 0.120
Ge2 Ge 0.361 0.639 0.380
Ge3 Ge 0.639 0.361 0.620
Ge4 Ge 0.639 0.361 0.880
```

=====

Record 6
Here is a geometry-optimized Ac2ZnHgRh structure from Alexandria. Energies are from GGA-PBE.

Properties
E_tot ... -0.2899 Ry/atom

Geometry as CIF:
```
data_Ac2ZnHgRh
_cell_length_a 7.868
_cell_length_b 4.476
_cell_length_c 8.498
_cell_angle_alpha 90.00
_cell_angle_beta 109.71
_cell_angle_gamma 90.00
_space_group_name_H-M_alt 'P 1'
_space_group_IT_number 1
loop_
_space_group_symop_operation_xyz
'x,y,z'
loop_
_atom_site_label
_atom_site_type_symbol
_atom_site_fract_x
_atom_site_fract_y
_atom_site_fract_z
Ac1 Ac 0.145 0.250 0.353
Ac2 Ac 0.273 0.250 0.956
Ac3 Ac 0.727 0.750 0.044
Ac4 Ac 0.855 0.750 0.647
Zn1 Zn 0.446 0.750 0.312
Zn2 Zn 0.554 0.250 0.688
Hg1 Hg 0.326 0.750 0.665
Hg2 Hg 0.674 0.250 0.335
Rh1 Rh 0.124 0.750 0.099
Rh2 Rh 0.876 0.250 0.901
```

=====

Record 7
Here is a geometry-optimized BaCaSn3 structure from Alexandria. Energies are from GGA-PBE.

Properties
Excess energy over the best structure of this formula in the dataset ... 116.2 kJ per mole of atoms

Geometry as CIF:
```
data_BaCaSn3
_cell_length_a 6.093
_cell_length_b 6.093
_cell_length_c 6.093
_cell_angle_alpha 90.00
_cell_angle_beta 90.00
_cell_angle_gamma 90.00
_space_group_name_H-M_alt 'P 1'
_space_group_IT_number 1
loop_
_space_group_symop_operation_xyz
'x,y,z'
loop_
_atom_site_label
_atom_site_type_symbol
_atom_site_fract_x
_atom_site_fract_y
_atom_site_fract_z
Ba1 Ba 0.000 0.000 0.000
Ca1 Ca 0.500 0.500 0.500
Sn1 Sn 0.000 0.000 0.500
Sn2 Sn 0.000 0.500 0.000
Sn3 Sn 0.500 0.000 0.000
```

=====

Record 8
Here is a geometry-optimized NaCa2TlCu structure from Alexandria. Energies are from GGA-PBE.

Properties
Excess energy over the best structure of this formula in the dataset ... 0.0 kJ per mole of atoms

Geometry as CIF:
```
data_NaCa2TlCu
_cell_length_a 5.670
_cell_length_b 5.670
_cell_length_c 5.036
_cell_angle_alpha 90.00
_cell_angle_beta 90.00
_cell_angle_gamma 90.00
_space_group_name_H-M_alt 'P 1'
_space_group_IT_number 1
loop_
_space_group_symop_operation_xyz
'x,y,z'
loop_
_atom_site_label
_atom_site_type_symbol
_atom_site_fract_x
_atom_site_fract_y
_atom_site_fract_z
Na1 Na 0.000 0.000 0.000
Ca1 Ca 0.000 0.500 0.500
Ca2 Ca 0.500 0.000 0.500
Tl1 Tl 0.500 0.500 0.000
Cu1 Cu 0.500 0.500 0.500
```

=====

no.,DOS(E_F) (states/eV per atom)
1,0.44
2,0.20
3,0.43
4,0.18
5,0.52
6,0.78
7,1.03
8,0.68